# 1
! CsBAs | Alexandria | PBE | relaxed; values from VASP
&SYSTEM
  ibrav = 0, nat = 6, ntyp = 3
/
ATOMIC_SPECIES
B 10.81 B.upf
Cs 132.91 Cs.upf
As 74.92 As.upf
ATOMIC_POSITIONS crystal
B 0.039 0.214 0.872
B 0.570 0.152 0.915
Cs 0.384 0.524 0.054
Cs 0.144 0.000 0.418
As 0.958 0.376 0.593
As 0.688 0.914 0.935
CELL_PARAMETERS angstrom
-2.021 1.829 1.853
-5.476 -6.062 2.944
2.933 -2.116 5.290
! Space group = No. 1
! ΔH_f (0 K) = 42 meV per atom
! Energy relative to the lowest polymorph listed for this composition = 0 meV/atom
! VASP energy = -24.11 eV per cell

***

# 2
! Nd2P3Au2 | Alexandria | PBE | relaxed; values from VASP
&SYSTEM
  ibrav = 0, nat = 14, ntyp = 3
/
ATOMIC_SPECIES
P 30.97 P.upf
Nd 144.24 Nd.upf
Au 196.97 Au.upf
ATOMIC_POSITIONS crystal
P 0.077 0.959 0.888
P 0.164 0.491 0.180
P 0.836 0.509 0.820
P 0.923 0.041 0.112
P 0.621 0.225 0.532
P 0.379 0.775 0.468
Nd 0.604 0.733 0.059
Nd 0.733 0.873 0.660
Nd 0.396 0.267 0.941
Nd 0.267 0.127 0.340
Au 0.055 0.206 0.683
Au 0.945 0.794 0.317
Au 0.618 0.441 0.323
Au 0.382 0.559 0.677
CELL_PARAMETERS angstrom
4.104 0.000 0.910
1.898 7.688 1.147
0.032 -0.043 9.567
! Space group = No. 12
! ΔH_f (0 K) = -870 meV per atom
! VASP energy = -76.82 eV per cell

***

# 3
! Tb2NiPd | Alexandria | PBE | relaxed; values from VASP
&SYSTEM
  ibrav = 0, nat = 8, ntyp = 3
/
ATOMIC_SPECIES
Ni 58.69 Ni.upf
Pd 106.42 Pd.upf
Tb 158.93 Tb.upf
ATOMIC_POSITIONS crystal
Ni 0.250 0.342 0.209
Ni 0.750 0.658 0.791
Pd 0.750 0.663 0.289
Pd 0.250 0.337 0.711
Tb 0.250 0.773 0.573
Tb 0.750 0.218 0.934
Tb 0.250 0.782 0.066
Tb 0.750 0.227 0.427
CELL_PARAMETERS angstrom
-2.667 -1.876 2.913
4.394 -2.080 2.683
-1.763 6.821 2.779
! Space group = No. 11
! ΔH_f (0 K) = -658 meV per atom
! VASP energy = -45.73 eV per cell

***

# 4
! MnTl2Cr | Alexandria | PBE | relaxed; values from VASP
&SYSTEM
  ibrav = 0, nat = 4, ntyp = 3
/
ATOMIC_SPECIES
Tl 204.38 Tl.upf
Cr 52.00 Cr.upf
Mn 54.94 Mn.upf
ATOMIC_POSITIONS crystal
Tl 0.500 0.500 0.499
Tl 0.000 0.000 0.001
Cr 0.750 0.750 0.750
Mn 0.250 0.250 0.250
CELL_PARAMETERS angstrom
-2.854 3.597 1.741
-2.589 1.176 4.004
3.779 3.084 2.855
! Space group = No. 12
! ΔH_f (0 K) = 643 meV per atom
! Energy relative to the lowest polymorph listed for this composition = 230 meV/atom
! VASP energy = -20.95 eV per cell

***

# 5
! ZnNi3H6 | Alexandria | PBE | relaxed; values from VASP
&SYSTEM
  ibrav = 0, nat = 10, ntyp = 3
/
ATOMIC_SPECIES
Ni 58.69 Ni.upf
Zn 65.41 Zn.upf
H 1.01 H.upf
ATOMIC_POSITIONS crystal
Ni 0.361 0.680 0.041
Ni 0.648 0.324 0.972
Ni 0.218 0.109 0.327
Zn 0.795 0.898 0.693
H 0.551 0.447 0.250
H 0.803 0.104 0.250
H 0.837 0.374 0.738
H 0.364 0.463 0.738
H 0.147 0.700 0.250
H 0.275 0.901 0.738
CELL_PARAMETERS angstrom
-0.829 3.576 2.410
-3.223 -1.886 -2.310
0.735 -4.078 2.304
! Space group = No. 146
! VASP energy = -38.33 eV per cell

***

# 6
! CoNiGe4 | Alexandria | PBE | relaxed; values from VASP
&SYSTEM
  ibrav = 0, nat = 12, ntyp = 3
/
ATOMIC_SPECIES
Ge 72.64 Ge.upf
Ni 58.69 Ni.upf
Co 58.93 Co.upf
ATOMIC_POSITIONS crystal
Ge 0.790 0.290 0.264
Ge 0.474 0.974 0.264
Ge 0.290 0.474 0.264
Ge 0.026 0.210 0.736
Ge 0.210 0.710 0.736
Ge 0.710 0.526 0.736
Ge 0.974 0.790 0.264
Ge 0.526 0.026 0.736
Ni 0.000 0.000 0.000
Ni 0.500 0.500 0.000
Co 0.250 0.250 0.500
Co 0.750 0.750 0.500
CELL_PARAMETERS angstrom
-2.879 -3.040 -4.032
1.870 -4.953 2.398
-3.671 3.899 3.871
! Space group = No. 140
! ΔH_f (0 K) = -120 meV per atom
! Energy relative to the lowest polymorph listed for this composition = 0 meV/atom
! VASP energy = -64.16 eV per cell